This record from OQMD describes YErGeF2 after structural relaxation. The functional is PBE. Values from VASP.

The structure in Quantum ESPRESSO input format:
```
&SYSTEM
  ibrav = 0, nat = 5, ntyp = 4
/
ATOMIC_SPECIES
F 19.00 F.upf
Y 88.91 Y.upf
Ge 72.64 Ge.upf
Er 167.26 Er.upf
ATOMIC_POSITIONS crystal
F 0.000 0.000 0.103
Y 0.000 0.000 0.744
Ge 0.667 0.333 0.497
F 0.333 0.667 0.903
Er 0.333 0.667 0.253
CELL_PARAMETERS angstrom
-1.389 1.342 -3.485
-2.472 -1.746 2.591
-1.243 5.821 2.738
```

Calculated values
* final energy: -6.34 eV per atom
* spin magnetization: 0.002 μB/f.u.